(1)
A plane-wave DFT calculation with PBE-GGA was carried out for a relaxed RbScTc2O crystal.

Lattice parameters (Å, degrees): 4.6048 5.3102 4.6048 90.00 90.00 90.00
Closest atoms and distances in Å follow each position.
Fractional positions:
O 0.5000 0.5000 0.5000  4 Sc 3.26, 8 Tc 3.51
Sc 0.0000 0.5000 0.0000  2 Rb 2.66
Tc 0.0000 0.0000 0.5000  2 Rb 2.30
Rb 0.0000 0.0000 0.0000  4 Tc 2.30
Tc 0.5000 0.0000 0.0000  2 Rb 2.30

Properties
Formation energy from raw total energies, eV/atom: 2.91
Symmetry: P4/mmm, No. 123
Calculated density, g/cm3: 5.05
Volume, Å³/atom: 22.5
Electronic total energy, eV/cell: -18.43

(2)
A plane-wave DFT calculation with PBE-GGA was carried out for a relaxed RbSc3Te4O12 crystal.

Lattice parameters (Å, degrees): 7.0907 7.0907 7.0907 104.07 104.07 104.07
Closest atoms and distances in Å follow each position.
Fractional positions:
Sc 0.5762 0.4238 0.0000  6 O 2.05-2.29
O 0.9302 0.5977 0.6962  1 Te 2.02, 1 Sc 2.09
Te 0.0964 0.5000 0.9036  3 O 1.92-2.02
O 0.0755 0.9245 0.5000  1 Te 1.92
Sc 0.0000 0.5762 0.4238  6 O 2.05-2.29
O 0.3038 0.4023 0.0698  1 Te 2.02, 1 Sc 2.09
O 0.4023 0.0698 0.3038  1 Te 2.02, 1 Sc 2.09
O 0.6866 0.5000 0.3134  2 Sc 2.05, 1 Te 2.09
O 0.0698 0.3038 0.4023  1 Te 2.02, 1 Sc 2.09
O 0.9245 0.5000 0.0755  1 Te 1.92
Rb 0.0000 0.0000 0.0000  6 O 2.97
O 0.3134 0.6866 0.5000  2 Sc 2.05, 1 Te 2.09
Te 0.5000 0.9036 0.0964  3 O 1.92-2.02
O 0.5000 0.3134 0.6866  2 Sc 2.05, 1 Te 2.09
Sc 0.4238 0.0000 0.5762  6 O 2.05-2.29
O 0.5977 0.6962 0.9302  1 Te 2.02, 1 Sc 2.09
O 0.6962 0.9302 0.5977  1 Te 2.02, 1 Sc 2.09
Te 0.5000 0.5000 0.5000  3 O 2.09
O 0.5000 0.0755 0.9245  1 Te 1.92
Te 0.9036 0.0964 0.5000  3 O 1.92-2.02

Properties
Formation energy from raw total energies, eV/atom: -1.77
Symmetry: R32, No. 155
Calculated density, g/cm3: 4.82
Volume, Å³/atom: 15.9
Electronic total energy, eV/cell: -127.47

(3)
A plane-wave DFT calculation with PBE-GGA was carried out for a relaxed Rb3ScTe2O9 crystal.

Lattice parameters (Å, degrees): 5.8134 5.8134 7.1212 90.00 90.00 120.00
Closest atoms and distances in Å follow each position.
Fractional positions:
Te 0.6667 0.3333 0.8254  6 O 1.92-2.09
Rb 0.6667 0.3333 0.3340  12 O 2.91-2.93
O 0.8262 0.1738 0.6774  1 Te 1.92
O 0.0000 0.5000 0.0000  2 Te 2.09
O 0.6524 0.8262 0.3226  1 Te 1.92
Rb 0.0000 0.0000 0.0000  12 O 2.89-2.91
Rb 0.3333 0.6667 0.6660  12 O 2.91-2.93
Te 0.3333 0.6667 0.1746  6 O 1.92-2.09
O 0.3476 0.1738 0.6774  1 Te 1.92
O 0.1738 0.3476 0.3226  1 Te 1.92
O 0.5000 0.0000 0.0000  2 Te 2.09
O 0.1738 0.8262 0.3226  1 Te 1.92
O 0.5000 0.5000 0.0000  2 Te 2.09
O 0.8262 0.6524 0.6774  1 Te 1.92
Sc 0.0000 0.0000 0.5000  6 O 2.16

Properties
Formation energy from raw total energies, eV/atom: -1.57
Symmetry: P-3m1, No. 164
Calculated density, g/cm3: 5.58
Volume, Å³/atom: 13.9
Electronic total energy, eV/cell: -83.70

> Which formula does entry 1 have?

RbScTc2O